w | DFT (SCAN) results for a crystal of TaNiBr relaxed with PBEsol.

Its density of states at the Fermi level is 0.86 states/eV per atom. As for the volume: 216 Å³/cell.

The space group is F-43m (No. 216) and the conventional cell measures 6.002, 6.002 and 6.002 Å, with angles of 90.00, 90.00 and 90.00 degrees. Symmetry generates all atoms from Ta at (0.000, 0.000, 0.000), Ni at (0.250, 0.250, 0.250) and Br at (0.250, 0.250, 0.750).

x | DFT (SCAN) results for a crystal of TaNiBr relaxed with PBEsol.

As for the volume: 60 Å³/cell.

The space group is P3m1 (No. 156) and the conventional cell measures 3.2808, 3.2808 and 6.4266 Å, with angles of 90.00, 90.00 and 120.00 degrees. Symmetry generates all atoms from Ta at (0.0000, 0.0000, 0.0000), Ni at (0.3333, 0.6667, 0.2258) and Br at (0.6667, 0.3333, 0.7007).

y | DFT (SCAN) results for a crystal of TaNiBr relaxed with PBEsol.

Its density of states at the Fermi level is 0.78 states/eV per atom. As for the volume: 101 Å³/cell.

The space group is I4mm (No. 107) and the conventional cell measures 2.992, 2.992 and 11.241 Å, with angles of 90.00, 90.00 and 90.00 degrees. Symmetry generates all atoms from Ta at (0.000, 0.000, 0.000), Ni at (0.000, 0.000, 0.637) and Br at (0.000, 0.000, 0.343).

Energetically preferred structure: x | next structure: +213 meV per atom

w | DFT (SCAN) results for a crystal of NiW2Br relaxed with PBEsol.

Its density of states at the Fermi level is 0.76 states/eV per atom. As for the volume: 118 Å³/cell.

The space group is Imm2 (No. 44) and the conventional cell measures 2.877, 4.552 and 8.982 Å, with angles of 90.00, 90.00 and 90.00 degrees. Symmetry generates all atoms from Ni at (0.000, 0.000, 0.000), W at (0.000, 0.000, 0.525), W at (0.000, 0.500, 0.737) and Br at (0.000, 0.500, 0.261).

x | DFT (SCAN) results for a crystal of NiW2Br relaxed with PBEsol.

Its density of states at the Fermi level is 1.17 states/eV per atom. As for the volume: 185 Å³/cell.

The space group is R3m (No. 160, hexagonal axes) and the conventional cell measures 2.8870, 2.8870 and 25.5744 Å, with angles of 90.00, 90.00 and 120.00 degrees. Symmetry generates all atoms from Ni at (0.0000, 0.0000, 0.0000), W at (0.0000, 0.0000, 0.5006), W at (0.0000, 0.0000, 0.7415) and Br at (0.0000, 0.0000, 0.2475).

Energetically preferred structure: x | next structure: +312 meV per atom

w | DFT (SCAN) results for a crystal of NiW2Br relaxed with PBEsol.

Its density of states at the Fermi level is 1.00 states/eV per atom. As for the volume: 245 Å³/cell.

The space group is F-43m (No. 216) and the conventional cell measures 6.258, 6.258 and 6.258 Å, with angles of 90.00, 90.00 and 90.00 degrees. Symmetry generates all atoms from Ni at (0.000, 0.000, 0.000), W at (0.000, 0.000, 0.500), W at (0.250, 0.250, 0.750) and Br at (0.250, 0.250, 0.250).

x | DFT (SCAN) results for a crystal of NiW2Br relaxed with PBEsol.

Its density of states at the Fermi level is 0.58 states/eV per atom. As for the volume: 69 Å³/cell.

The space group is Pm (No. 6) and the conventional cell measures 3.204, 3.103 and 6.922 Å, with angles of 90.00, 92.88 and 90.00 degrees. Symmetry generates all atoms from Ni at (0.000, 0.000, 0.000), W at (0.007, 0.000, 0.606), W at (0.477, 0.500, 0.809) and Br at (0.948, 0.500, 0.288).

Energetically preferred structure: x | next structure: +808 meV per atom

w | DFT (SCAN) results for a crystal of ReSeBr2O relaxed with PBEsol.

Its density of states at the Fermi level is 0.40 states/eV per atom. As for the volume: 96 Å³/cell.

The space group is P4/mmm (No. 123) and the conventional cell measures 4.766, 4.766 and 4.213 Å, with angles of 90.00, 90.00 and 90.00 degrees. Symmetry generates all atoms from Re at (0.000, 0.000, 0.000), Se at (0.500, 0.500, 0.000), Br at (0.000, 0.500, 0.500) and O at (0.500, 0.500, 0.500).

x | DFT (SCAN) results for a crystal of ReSeBr2O relaxed with PBEsol.

Its density of states at the Fermi level is 1.05 states/eV per atom. As for the volume: 119 Å³/cell.

The space group is P4/mmm (No. 123) and the conventional cell measures 5.038, 5.038 and 4.679 Å, with angles of 90.00, 90.00 and 90.00 degrees. Symmetry generates all atoms from Re at (0.000, 0.000, 0.000), Se at (0.000, 0.000, 0.500), Br at (0.000, 0.500, 0.000) and O at (0.500, 0.500, 0.500).

Energetically preferred structure: x | next structure: +665 meV per atom

w | DFT (SCAN) results for a crystal of ScBr3O relaxed with PBEsol.

Its density of states at the Fermi level is 1.47 states/eV per atom. As for the volume: 140 Å³/cell.

The space group is Pm-3m (No. 221) and the conventional cell measures 5.195, 5.195 and 5.195 Å, with angles of 90.00, 90.00 and 90.00 degrees. Symmetry generates all atoms from Sc at (0.000, 0.000, 0.000), Br at (0.000, 0.000, 0.500) and O at (0.500, 0.500, 0.500).

x | DFT (SCAN) results for a crystal of ScBr3O relaxed with PBEsol.

Its density of states at the Fermi level is 1.16 states/eV per atom. As for the volume: 103 Å³/cell.

The space group is Pm-3m (No. 221) and the conventional cell measures 4.684, 4.684 and 4.684 Å, with angles of 90.00, 90.00 and 90.00 degrees. Symmetry generates all atoms from Sc at (0.000, 0.000, 0.000), Br at (0.000, 0.500, 0.500) and O at (0.500, 0.500, 0.500).

Energetically preferred structure: w | next structure: +715 meV per atom

w | DFT (SCAN) results for a crystal of Sr4Br6O relaxed with PBEsol.

Its density of states at the Fermi level is 0.00 states/eV per atom. As for the volume: 657 Å³/cell.

The space group is P4_2/nmc (No. 137, origin choice 2) and the conventional cell measures 9.578, 9.578 and 7.157 Å, with angles of 90.00, 90.00 and 90.00 degrees. Symmetry generates all atoms from Sr at (0.019, 0.750, 0.095), Br at (0.047, 0.547, 0.750), Br at (0.250, 0.250, 0.130) and O at (0.250, 0.750, 0.250).

x | DFT (SCAN) results for a crystal of Sr4Br6O relaxed with PBEsol.

Its density of states at the Fermi level is 0.00 states/eV per atom. As for the volume: 624 Å³/cell.

The space group is P6_3mc (No. 186) and the conventional cell measures 9.7917, 9.7917 and 7.5105 Å, with angles of 90.00, 90.00 and 120.00 degrees. Symmetry generates all atoms from Sr at (0.2004, 0.4009, 0.0000), Sr at (0.3333, 0.6667, 0.5859), Br at (0.0674, 0.5337, 0.2951), Br at (0.1392, 0.2784, 0.6139) and O at (0.3333, 0.6667, 0.9005).

Energetically preferred structure: x | next structure: +102 meV per atom

w | DFT (SCAN) results for a crystal of Os3Br relaxed with PBEsol.

Its density of states at the Fermi level is 1.03 states/eV per atom. As for the volume: 118 Å³/cell.

The space group is Immm (No. 71) and the conventional cell measures 2.827, 4.605 and 9.094 Å, with angles of 90.00, 90.00 and 90.00 degrees. Symmetry generates all atoms from Os at (0.000, 0.000, 0.000), Os at (0.000, 0.500, 0.240) and Br at (0.000, 0.000, 0.500).

x | DFT (SCAN) results for a crystal of Os3Br relaxed with PBEsol.

Its density of states at the Fermi level is 1.05 states/eV per atom. As for the volume: 136 Å³/cell.

The space group is Cmmm (No. 65) and the conventional cell measures 2.714, 4.697 and 10.703 Å, with angles of 90.00, 90.00 and 90.00 degrees. Symmetry generates all atoms from Os at (0.000, 0.000, 0.000), Os at (0.000, 0.500, 0.207) and Br at (0.000, 0.000, 0.500).

Energetically preferred structure: x | next structure: +298 meV per atom

w | DFT (SCAN) results for a crystal of Os3Br relaxed with PBEsol.

Its density of states at the Fermi level is 0.89 states/eV per atom. As for the volume: 119 Å³/cell.

The space group is I4/mmm (No. 139) and the conventional cell measures 4.085, 4.085 and 7.145 Å, with angles of 90.00, 90.00 and 90.00 degrees. Symmetry generates all atoms from Os at (0.000, 0.000, 0.000), Os at (0.000, 0.500, 0.250) and Br at (0.000, 0.000, 0.500).

x | DFT (SCAN) results for a crystal of Os3Br relaxed with PBEsol.

Its density of states at the Fermi level is 0.76 states/eV per atom. As for the volume: 180 Å³/cell.

The space group is R-3m (No. 166, hexagonal axes) and the conventional cell measures 2.8081, 2.8081 and 26.2945 Å, with angles of 90.00, 90.00 and 120.00 degrees. Symmetry generates all atoms from Os at (0.0000, 0.0000, 0.0000), Os at (0.0000, 0.0000, 0.2531) and Br at (0.0000, 0.0000, 0.5000).

Energetically preferred structure: x | next structure: +681 meV per atom